(1)
Entry from OQMD via LeMat-Bulk: a relaxed structure of PrCo2 (GGA-PBE).

The structure in POSCAR format:
```
PrCo2
1.0
3.6549 -3.6549 0.0000
-3.6549 0.0000 -3.6549
3.6549 3.6549 0.0000
Co Pr
4 2
Cartesian
-0.9137 -0.9137 -2.7412
2.7412 0.9137 -0.9137
0.9137 0.9137 -2.7412
4.5686 -0.9137 -0.9137
0.0000 0.0000 0.0000
1.8274 -1.8274 -1.8274
```

Summary:
- ΔE_f (kJ/mol of atoms) = 3
- space-group type = No. 227

---

(2)
Entry from OQMD via LeMat-Bulk: a relaxed structure of PrCo2 (GGA-PBE).

The structure in POSCAR format:
```
PrCo2
1.0
-3.5988 2.2096 0.9652
-2.0218 2.2937 -3.0686
-3.8311 -1.3271 -1.5254
Co Pr
2 1
Cartesian
-2.3629 0.7940 -0.9072
-7.0888 2.3821 -2.7217
0.0000 0.0000 0.0000
```

Summary:
- ΔE_f (kJ/mol of atoms) = 101
- space-group type = No. 225

---

(3)
Entry from OQMD via LeMat-Bulk: a relaxed structure of PrCo5 (GGA-PBE).

The structure in POSCAR format:
```
PrCo5
1.0
4.9845 0.0000 0.0000
-2.4923 4.3167 0.0000
0.0000 0.0000 3.9564
Co Pr
5 1
Cartesian
2.4922 1.4391 0.0000
0.0002 2.8779 0.0000
2.4923 0.0000 1.9782
1.2461 2.1583 1.9782
-1.2461 2.1583 1.9782
0.0000 0.0000 0.0000
```

Summary:
- ΔE_f (kJ/mol of atoms) = 11
- space-group type = No. 191

---

(4)
Entry from OQMD via LeMat-Bulk: a relaxed structure of PrCo3 (GGA-PBE).

The structure in POSCAR format:
```
PrCo3
1.0
-4.0154 -0.4076 1.8582
-2.4839 3.6098 0.7367
-3.6534 0.7158 -2.4255
Co Pr
3 1
Cartesian
0.0000 0.0000 0.0000
-2.5382 0.9795 0.0424
-5.0764 1.9590 0.0847
-7.6146 2.9385 0.1271
```

Summary:
- ΔE_f (kJ/mol of atoms) = 44
- space-group type = No. 225

---

(5)
Entry from OQMD via LeMat-Bulk: a relaxed structure of PrCo3 (GGA-PBE).

The structure in POSCAR format:
```
PrCo3
1.0
-2.5221 4.3683 0.0000
5.0441 0.0000 0.0000
2.5221 -1.4561 -8.2600
Co Pr
9 3
Cartesian
0.0000 2.9122 -0.0079
1.2732 2.1771 -1.9668
2.5221 0.0141 -1.9668
3.7709 2.1771 -1.9668
2.5221 1.4561 -4.1300
1.2732 0.7351 -6.2932
2.5221 2.8981 -6.2932
3.7709 0.7351 -6.2932
5.0441 0.0000 -8.2521
0.0000 0.0000 0.0000
5.0441 0.0000 -3.4714
0.0000 2.9122 -4.7886
```

Summary:
- ΔE_f (kJ/mol of atoms) = 4
- space-group type = No. 166

---

(6)
Entry from OQMD via LeMat-Bulk: a relaxed structure of Pr3Co2 (GGA-PBE).

The structure in POSCAR format:
```
Pr3Co2
1.0
-6.9122 0.0000 0.0000
3.4561 -5.9862 0.0000
-3.4561 1.9954 6.2737
Co Pr
4 6
Cartesian
0.0000 -3.9908 0.2406
0.0000 -3.9908 2.8962
-6.9122 0.0000 3.3775
-6.9122 0.0000 6.0331
-5.6971 -1.8861 1.5684
-2.2410 -0.1093 1.5684
-2.4303 -3.9908 1.5684
-4.4819 0.0000 4.7053
-4.6713 -3.8815 4.7053
-1.2151 -2.1047 4.7053
```

Summary:
- ΔE_f (kJ/mol of atoms) = 2
- space-group type = No. 167

---

(7)
Entry from OQMD via LeMat-Bulk: a relaxed structure of Pr5Co19 (GGA-PBE).

The structure in POSCAR format:
```
Pr5Co19
1.0
2.5146 1.4518 16.0686
-2.5146 1.4518 16.0686
0.0000 -2.9036 16.0686
Co Pr
19 5
Cartesian
0.0000 1.4508 18.0235
0.0000 1.4343 21.9488
0.0000 0.0000 12.1131
0.0000 0.0000 16.0615
1.2421 0.7171 26.2571
-1.2421 0.7171 26.2571
0.0000 0.0000 20.0030
-1.2564 0.7254 30.1824
1.2564 0.7254 30.1824
0.0000 0.0000 24.1029
-1.2564 -0.7254 18.0235
1.2564 -0.7254 18.0235
0.0000 0.0000 28.2029
1.2421 -0.7171 21.9488
-1.2421 -0.7171 21.9488
0.0000 0.0000 32.1444
0.0000 0.0000 36.0928
0.0000 -1.4343 26.2571
0.0000 -1.4508 30.1824
0.0000 0.0000 0.0000
0.0000 0.0000 3.8230
0.0000 0.0000 7.3575
0.0000 0.0000 40.8484
0.0000 0.0000 44.3828
```

Summary:
- ΔE_f (kJ/mol of atoms) = 2
- space-group type = No. 166

---

(8)
Entry from OQMD via LeMat-Bulk: a relaxed structure of Pr3Co (GGA-PBE).

The structure in POSCAR format:
```
Pr3Co
1.0
-1.1025 -6.1790 -3.4041
-3.7825 -3.9204 8.3411
-5.9191 2.0135 -1.7379
Co Pr
4 12
Cartesian
-2.2875 -6.3273 -1.0365
-3.9645 -2.4798 0.0114
-6.8396 -5.6061 3.1877
-8.5166 -1.7586 4.2356
-4.2027 -5.4433 4.4600
-1.4840 -0.9761 -0.2990
-2.8458 -2.3875 2.7041
-2.9319 -3.7606 -2.2643
-4.2937 -5.1720 0.7388
-5.9803 -8.1157 2.3979
-4.8238 0.0298 0.8012
-6.5104 -2.9139 2.4603
-7.8723 -4.3253 5.4634
-7.9583 -5.6984 0.4950
-9.3202 -7.1098 3.4981
-6.6015 -2.6426 -1.2609
```

Summary:
- ΔE_f (kJ/mol of atoms) = -5
- space-group type = No. 62

---

(9)
Entry from OQMD via LeMat-Bulk: a relaxed structure of PrCo3 (GGA-PBE).

The structure in POSCAR format:
```
PrCo3
1.0
-0.0511 -1.2146 3.7616
3.6753 -1.3993 -0.4019
1.4550 3.4920 1.1473
Co Pr
3 1
Cartesian
1.8121 -1.3069 1.6798
0.7020 1.1387 2.4544
2.5652 1.0464 0.3727
0.0000 0.0000 0.0000
```

Summary:
- ΔE_f (kJ/mol of atoms) = 39
- space-group type = No. 221

---

(10)
Entry from OQMD via LeMat-Bulk: a relaxed structure of Pr3Co (GGA-PBE).

The structure in POSCAR format:
```
Pr3Co
1.0
7.7613 0.0000 0.0000
-3.8806 6.7214 0.0000
0.0000 0.0000 4.3148
Co Pr
2 6
Cartesian
3.8806 2.2405 1.0787
0.0000 4.4810 3.2361
0.0000 2.5435 1.0787
-1.6779 5.4497 1.0787
1.6779 5.4497 1.0787
2.2027 1.2717 3.2361
5.5586 1.2717 3.2361
3.8806 4.1780 3.2361
```

Summary:
- ΔE_f (kJ/mol of atoms) = 22
- space-group type = No. 194

---

(11)
Entry from OQMD via LeMat-Bulk: a relaxed structure of PrCoPt (GGA-PBE).

The structure in POSCAR format:
```
PrCoPt
1.0
0.0000 3.2833 3.2833
3.2833 0.0000 3.2833
3.2833 3.2833 0.0000
Co Pr Pt
1 1 1
Cartesian
1.6416 1.6416 1.6416
4.9249 4.9249 4.9249
0.0000 0.0000 0.0000
```

Summary:
- ΔE_f (kJ/mol of atoms) = -9
- space-group type = No. 216

---

(12)
Entry from OQMD via LeMat-Bulk: a relaxed structure of PrCoPt (GGA-PBE).

The structure in POSCAR format:
```
PrCoPt
1.0
0.0000 3.2700 3.2700
3.2700 0.0000 3.2700
3.2700 3.2700 0.0000
Co Pr Pt
1 1 1
Cartesian
1.6350 1.6350 1.6350
0.0000 0.0000 0.0000
4.9050 4.9050 4.9050
```

Summary:
- ΔE_f (kJ/mol of atoms) = 38
- space-group type = No. 216